Crystalline K5PdClO2 at its relaxed geometry, computed with PBE.

Raw formation energy   -1.0920 eV per atom
Total DFT energy (no corrections)   -3.59 eV/atom
SG   P4/mmm, No. 123

extended XYZ file:
```
9
Lattice="-0.5250 2.3288 -4.7416 4.2761 -2.6105 -1.7556 -5.3822 -6.9286 -2.8070" Properties=species:S:1:pos:R:3 pbc="T T T"
K -2.6911 -3.4643 -1.4035
K -4.4892 -4.2767 -4.5752
K -1.4180 -0.3231 -2.9734
K -2.0886 -6.7463 -3.0821
K 0.9825 -2.7928 -1.4804
Cl -0.8155 -3.6052 -4.6521
Pd 0.0000 0.0000 0.0000
O -4.1620 -5.3578 -2.1706
O -1.2202 -1.5708 -0.6364
```

=====

Crystalline CsGeP at its relaxed geometry, computed with PBE.

Formation energy   -0.8 eV/f.u.
Energy above the most stable polymorph in this dataset   0 meV/atom
Total DFT energy (no corrections)   -3.89 eV/atom
SG   Cm, No. 8

extended XYZ file:
```
6
Lattice="-2.9852 -2.4547 -3.2551 -0.2439 -4.0355 4.4723 -4.6565 6.9298 2.3733" Properties=species:S:1:pos:R:3 pbc="T T T"
Ge -6.5083 4.0154 0.4098
Ge -5.2642 1.8995 5.6414
P -6.0315 -1.0150 2.8628
P -1.0280 0.2382 0.6386
Cs -3.0512 -2.7862 1.5819
Cs -3.9357 1.9280 2.1620
```

=====

Crystalline SrBi2Se2 at its relaxed geometry, computed with PBE.

Raw formation energy   -0.5714 eV per atom
Energy above the most stable polymorph in this dataset   22 meV/atom
Total DFT energy (no corrections)   -3.85 eV/atom
SG   I4/mmm, No. 139

extended XYZ file:
```
5
Lattice="-1.9115 -3.8009 1.0045 1.1213 0.5434 4.1900 -7.6603 2.4007 4.0190" Properties=species:S:1:pos:R:3 pbc="T T T"
Bi -3.4670 0.6577 5.4031
Bi -4.9834 -1.5144 3.8103
Sr 0.0000 0.0000 0.0000
Se -1.5207 -1.0044 2.8175
Se -6.9297 0.1477 6.3959
```

=====

Crystalline AcPm3Rh8 at its relaxed geometry, computed with PBE.

Formation energy   -7.2 eV/f.u.
Total DFT energy (no corrections)   -7.03 eV/atom
SG   P3m1, No. 156

extended XYZ file:
```
12
Lattice="-1.2390 -5.1268 1.2948 2.9198 3.0367 3.4276 -7.5247 2.8089 3.9214" Properties=species:S:1:pos:R:3 pbc="T T T"
Pm -0.3513 -2.2195 2.2656
Pm -3.0703 -1.2045 3.6825
Pm -7.0379 2.6272 3.6677
Ac -4.2751 1.5959 2.2279
Rh -1.0854 0.8482 2.3197
Rh -6.2962 -0.4407 3.6202
Rh -5.4627 -1.4772 5.9620
Rh 0.3777 2.3698 4.0373
Rh -4.8483 1.0652 5.3199
Rh 1.5308 0.3166 2.7181
Rh -2.2203 1.7168 4.6729
Rh -0.2432 -0.1991 4.6861
```

=====

Crystalline CuTe at its relaxed geometry, computed with PBE.

Raw formation energy   0.4118 eV per atom
Total DFT energy (no corrections)   -3.21 eV/atom
SG   Pm-3m, No. 221

extended XYZ file:
```
2
Lattice="3.4336 0.0000 0.0000 0.0000 3.4336 0.0000 0.0000 0.0000 3.4336" Properties=species:S:1:pos:R:3 pbc="T T T"
Cu 0.0000 0.0000 0.0000
Te 1.7168 1.7168 1.7168
```

=====

Crystalline BaGa3Br at its relaxed geometry, computed with PBE.

Raw formation energy   0.6753 eV per atom
Energy above the most stable polymorph in this dataset   662 meV/atom
Total DFT energy (no corrections)   -1.86 eV/atom
SG   Pm-3m, No. 221

extended XYZ file:
```
5
Lattice="6.2932 0.0000 0.0000 0.0000 6.2932 0.0000 0.0000 0.0000 6.2932" Properties=species:S:1:pos:R:3 pbc="T T T"
Br 3.1466 3.1466 3.1466
Ga 3.1466 0.0000 0.0000
Ga 0.0000 0.0000 3.1466
Ga 0.0000 3.1466 0.0000
Ba 0.0000 0.0000 0.0000
```

=====

Crystalline K2CoAu at its relaxed geometry, computed with PBE.

Formation energy   2.6 eV/f.u.
Energy above the most stable polymorph in this dataset   390 meV/atom
Total DFT energy (no corrections)   -2.49 eV/atom
SG   Fm-3m, No. 225

extended XYZ file:
```
4
Lattice="0.0000 4.0040 4.0040 4.0040 0.0000 4.0040 4.0040 4.0040 0.0000" Properties=species:S:1:pos:R:3 pbc="T T T"
K 6.0060 6.0060 6.0060
K 2.0020 2.0020 2.0020
Au 4.0040 4.0040 4.0040
Co 0.0000 0.0000 0.0000
```

=====

Crystalline ZnBiPb2 at its relaxed geometry, computed with PBE.

Formation energy   0.7 eV/f.u.
Energy above the most stable polymorph in this dataset   64 meV/atom
Total DFT energy (no corrections)   -2.96 eV/atom
SG   R-3m, No. 166

extended XYZ file:
```
4
Lattice="-0.7928 -1.0480 3.1751 -0.9918 -3.2453 0.5407 10.6537 -4.5735 3.0102" Properties=species:S:1:pos:R:3 pbc="T T T"
Pb 7.9047 -3.8056 2.5772
Pb 0.9644 -5.0612 4.1488
Zn 0.0000 0.0000 0.0000
Bi 4.4345 -4.4334 3.3630
```

=====

Crystalline Ac2ErRh4Pb3 at its relaxed geometry, computed with PBE.

Formation energy   -5.2 eV/f.u.
Total DFT energy (no corrections)   -5.85 eV/atom
SG   P-4m2, No. 115

extended XYZ file:
```
10
Lattice="-2.2380 -3.9383 -0.3728 3.0954 -2.0100 2.6525 -6.4229 2.7436 9.5741" Properties=species:S:1:pos:R:3 pbc="T T T"
Rh -0.7422 -0.0269 4.7396
Rh 0.4287 -2.9742 1.1399
Rh -5.2520 -0.2037 5.9744
Rh 0.0000 0.0000 0.0000
Pb 0.7393 -0.6597 2.5313
Pb -6.7335 0.4291 8.1828
Pb -3.2114 1.3718 4.7871
Er -2.7827 -1.6024 5.9269
Ac -3.3462 1.0854 8.6212
Ac -2.6480 -1.3160 2.0928
```

=====

Crystalline ZrCo2Se at its relaxed geometry, computed with PBE.

Raw formation energy   -0.0246 eV per atom
Total DFT energy (no corrections)   -6.59 eV/atom
SG   I-42d, No. 122

extended XYZ file:
```
8
Lattice="-2.5004 -0.9943 2.8685 -2.8265 -0.5940 -2.6696 -0.3425 -8.6669 -0.6063" Properties=species:S:1:pos:R:3 pbc="T T T"
Co -1.8635 -2.8075 1.1491
Co -4.7617 -7.8570 -0.1332
Co -2.4105 -7.1285 -0.5276
Co -2.3028 -2.7172 -1.3031
Zr 0.0000 0.0000 0.0000
Zr -2.7531 -5.2276 1.1808
Se -2.6634 -0.7941 0.0994
Se -2.9162 -5.0275 -1.5882
```

=====

Crystalline TmPa2SiN6 at its relaxed geometry, computed with PBE.

Raw formation energy   -1.0281 eV per atom
Total DFT energy (no corrections)   -8.91 eV/atom
SG   P4mm, No. 99

extended XYZ file:
```
10
Lattice="-1.1305 4.1327 -2.7046 -5.0268 -1.3988 -0.0362 -0.7762 2.6752 4.4122" Properties=species:S:1:pos:R:3 pbc="T T T"
Pa -3.6370 3.4078 -2.7060
Pa -1.5116 5.4448 -0.4818
N -3.0378 1.1364 1.8620
N -2.5889 4.7760 1.3956
N -5.2958 4.0228 1.3761
N -4.8778 2.5823 -0.9997
N -0.2760 1.0090 -0.6603
N -2.1710 3.3355 -0.9803
Tm -3.5289 2.9316 0.6871
Si -0.6741 2.4640 -1.6126
```

=====

Crystalline TbPmNdHo2 at its relaxed geometry, computed with PBE.

Formation energy   1.9 eV/f.u.
Total DFT energy (no corrections)   -4.28 eV/atom
SG   Cmcm, No. 63

extended XYZ file:
```
10
Lattice="7.1668 0.0000 0.0000 0.0000 8.4271 0.0000 0.0000 -4.2135 5.7809" Properties=species:S:1:pos:R:3 pbc="T T T"
Ho 3.5834 2.6371 0.0000
Ho 0.0000 2.6371 0.0000
Ho 3.5834 5.7900 0.0000
Ho 0.0000 5.7900 0.0000
Pm 1.7917 4.2135 5.7703
Pm 5.3751 0.0000 0.0107
Tb 1.7917 0.0000 3.1986
Tb 5.3751 4.2135 2.5823
Nd 1.7917 4.2135 2.6432
Nd 5.3751 0.0000 3.1377
```

=====

| no. | theoretical density (g/cm3) |
| --- | --- |
| 1 | 2.36 |
| 2 | 3.31 |
| 3 | 6.84 |
| 4 | 10.80 |
| 5 | 7.84 |
| 6 | 2.84 |
| 7 | 4.32 |
| 8 | 9.47 |
| 9 | 11.22 |
| 10 | 7.51 |
| 11 | 8.94 |
| 12 | 7.40 |